No. 1
SmDyNb2Si2 after structural relaxation, computed with PBE.

```
6
Lattice="-1.8936 1.5771 3.1762 -3.5222 -1.2541 -1.4772 0.8083 -6.8357 3.8762" Properties=species:S:1:pos:R:3 pbc="T T T"
Si -2.5165 -1.4573 1.7675
Sm -2.1875 -4.2396 3.3452
Si 0.6197 -5.2405 2.9717
Dy 0.2830 -2.3929 1.3569
Nb -1.7601 -0.6361 -0.7334
Nb -0.9457 0.7795 1.5932
```

Properties
calculated total energy: -44.01 eV per formula unit
crystal system: tetragonal
SG: P4mm (99)
spin magnetization: 0.190 μB/atom

No. 2
TbDyNb2Si2 after structural relaxation, computed with PBE.

```
6
Lattice="-3.7329 1.4546 -0.0540 -0.6531 -1.5408 3.6404 2.5341 6.6241 3.2582" Properties=species:S:1:pos:R:3 pbc="T T T"
Tb 1.6368 4.2786 2.1045
Si 0.6062 1.5847 0.7795
Nb -0.3259 -0.7686 1.8211
Dy -1.2986 2.2949 2.9432
Si -0.2636 5.0003 4.2739
Nb -1.8658 0.7291 -0.0262
```

Properties
calculated total energy: -44.04 eV per formula unit
crystal system: tetragonal
SG: P4mm (99)
spin magnetization: 0.182 μB/atom

No. 3
DyTmNb2Si2 after structural relaxation, computed with PBE.

```
6
Lattice="3.9954 0.0000 0.0000 0.0000 3.9954 0.0000 0.0000 0.0000 7.7098" Properties=species:S:1:pos:R:3 pbc="T T T"
Tm 1.9977 1.9977 4.9956
Si 1.9977 1.9977 1.8617
Nb 1.9977 0.0000 7.7035
Nb 0.0000 1.9977 7.7035
Si 0.0000 0.0000 5.8372
Dy 0.0000 0.0000 2.7375
```

Properties
calculated total energy: -43.91 eV per formula unit
crystal system: tetragonal
SG: P4mm (99)
spin magnetization: 0.172 μB/atom

No. 4
TbDyNb2Sn2 after structural relaxation, computed with PBE.

```
6
Lattice="-1.3933 -0.0240 3.9712 3.5835 -1.8214 1.2463 3.3117 7.3406 1.2061" Properties=species:S:1:pos:R:3 pbc="T T T"
Nb -0.6958 -0.0101 1.9859
Dy 1.1520 2.5536 0.4196
Nb 1.7926 -0.9089 0.6234
Sn 1.9308 0.9297 2.9131
Tb 3.2515 3.8572 3.3941
Sn 2.4776 5.4917 0.9024
```

Properties
calculated total energy: -40.06 eV per formula unit
crystal system: tetragonal
SG: P4mm (99)
spin magnetization: 0.174 μB/atom

No. 5
TbDyNb after structural relaxation, computed with PBE.

```
3
Lattice="0.0000 3.5789 3.5789 3.5789 0.0000 3.5789 3.5789 3.5789 0.0000" Properties=species:S:1:pos:R:3 pbc="T T T"
Nb 5.3684 5.3684 5.3684
Tb 3.5789 3.5789 3.5789
Dy 0.0000 0.0000 0.0000
```

Properties
formation enthalpy at 0 K: 796 meV/atom
crystal system: cubic
offset from the most stable computed form: 0 meV per atom
SG: F-43m (216)
spin magnetization: 0.683 μB/atom

No. 6
DyNbTc after structural relaxation, computed with PBE.

```
3
Lattice="0.0000 3.2013 3.2013 3.2013 0.0000 3.2013 3.2013 3.2013 0.0000" Properties=species:S:1:pos:R:3 pbc="T T T"
Tc 4.8019 4.8019 4.8019
Nb 1.6006 1.6006 1.6006
Dy 0.0000 0.0000 0.0000
```

Properties
formation enthalpy at 0 K: 1395 meV/atom
crystal system: cubic
offset from the most stable computed form: 759 meV per atom
SG: F-43m (216)
spin magnetization: 0.000 μB/atom

No. 7
DyNbTc after structural relaxation, computed with PBE.

```
3
Lattice="3.7490 1.5349 2.0161 0.2666 4.3304 1.2856 -0.0694 1.0628 4.3979" Properties=species:S:1:pos:R:3 pbc="T T T"
Tc 2.9597 5.1961 5.7747
Dy 0.9866 1.7320 1.9249
Nb 0.0000 0.0000 0.0000
```

Properties
formation enthalpy at 0 K: 636 meV/atom
crystal system: cubic
offset from the most stable computed form: 0 meV per atom
SG: F-43m (216)
spin magnetization: 0.001 μB/atom

No. 8
DyNbTe after structural relaxation, computed with PBE.

```
3
Lattice="0.0000 3.3889 3.3889 3.3889 0.0000 3.3889 3.3889 3.3889 0.0000" Properties=species:S:1:pos:R:3 pbc="T T T"
Te 0.0000 0.0000 0.0000
Dy 1.6945 1.6945 1.6945
Nb 5.0834 5.0834 5.0834
```

Properties
crystal system: cubic
offset from the most stable computed form: 0 meV per atom
SG: F-43m (216)
spin magnetization: 0.005 μB/atom

No. 9
DyNbW after structural relaxation, computed with PBE.

```
3
Lattice="1.4184 -0.4009 4.3554 1.6143 3.6769 2.2398 -2.4569 1.8822 3.4005" Properties=species:S:1:pos:R:3 pbc="T T T"
Dy 0.1440 1.2895 2.4989
Nb 0.0000 0.0000 0.0000
W 0.4319 3.8686 7.4968
```

Properties
formation enthalpy at 0 K: 949 meV/atom
crystal system: cubic
offset from the most stable computed form: 0 meV per atom
SG: F-43m (216)
spin magnetization: 0.004 μB/atom

No. 10
DyNbW after structural relaxation, computed with PBE.

```
3
Lattice="-3.5981 -1.9920 2.0439 -4.1475 1.9584 -0.2331 -3.3083 -1.9237 -2.5390" Properties=species:S:1:pos:R:3 pbc="T T T"
Dy 0.0000 0.0000 0.0000
Nb -2.7635 -0.4893 -0.1821
W -8.2904 -1.4679 -0.5462
```

Properties
formation enthalpy at 0 K: 1801 meV/atom
crystal system: cubic
offset from the most stable computed form: 852 meV per atom
SG: F-43m (216)
spin magnetization: 0.004 μB/atom

No. 11
DyNbZn after structural relaxation, computed with PBE.

```
3
Lattice="0.0000 3.2473 3.2473 3.2473 0.0000 3.2473 3.2473 3.2473 0.0000" Properties=species:S:1:pos:R:3 pbc="T T T"
Nb 4.8709 4.8709 4.8709
Zn 0.0000 0.0000 0.0000
Dy 1.6236 1.6236 1.6236
```

Properties
formation enthalpy at 0 K: 474 meV/atom
crystal system: cubic
offset from the most stable computed form: 0 meV per atom
SG: F-43m (216)
spin magnetization: 0.141 μB/atom

No. 12
NdDy2 after structural relaxation, computed with PBE.

```
6
Lattice="0.9647 -6.1482 2.2472 -3.3520 -5.0538 -2.6467 3.1411 -4.4435 -3.7644" Properties=species:S:1:pos:R:3 pbc="T T T"
Dy -1.0994 -7.5567 -0.7203
Dy -0.0112 -6.7043 -3.7260
Nd 0.0000 0.0000 0.0000
Nd 0.1885 -3.9114 -1.0410
Dy 0.4711 -9.7784 -2.6024
Dy 2.1471 -7.2515 -1.2791
```

Properties
formation enthalpy at 0 K: 281 meV/atom
crystal system: cubic
offset from the most stable computed form: 0 meV per atom
SG: Fd-3m (227)
spin magnetization: 0.353 μB/atom

No. 13
Nd2Dy after structural relaxation, computed with PBE.

```
6
Lattice="5.1008 -1.5815 3.9868 -1.0100 -0.8231 6.5358 0.3655 -6.0875 2.6876" Properties=species:S:1:pos:R:3 pbc="T T T"
Nd 0.2348 -4.5168 6.2630
Nd 2.6025 -2.2638 6.9126
Dy 0.0000 0.0000 0.0000
Nd 3.2902 -4.8960 4.9885
Nd 2.7852 -5.3076 8.2564
Dy 1.1141 -2.1230 3.3026
```

Properties
formation enthalpy at 0 K: 261 meV/atom
crystal system: cubic
offset from the most stable computed form: 0 meV per atom
SG: Fd-3m (227)
spin magnetization: 0.003 μB/atom

No. 14
NdDy2 after structural relaxation, computed with PBE.

```
6
Lattice="4.4614 2.5758 7.2854 -4.4614 2.5758 7.2854 0.0000 -5.1516 7.2854" Properties=species:S:1:pos:R:3 pbc="T T T"
Nd 0.0000 0.0000 10.9281
Dy 2.2307 1.2879 11.8388
Dy 0.0000 -2.5758 11.8388
Dy -2.2307 1.2879 11.8388
Dy 0.0000 0.0000 8.1961
Nd 0.0000 0.0000 5.4641
```

Properties
formation enthalpy at 0 K: 2492 meV/atom
crystal system: cubic
offset from the most stable computed form: 2211 meV per atom
SG: Fd-3m (227)
spin magnetization: 0.027 μB/atom

No. 15
Nd2Dy after structural relaxation, computed with PBE.

```
6
Lattice="4.5764 2.6422 7.4732 -4.5764 2.6422 7.4732 0.0000 -5.2844 7.4732" Properties=species:S:1:pos:R:3 pbc="T T T"
Nd 0.0000 -2.6422 12.1440
Dy 0.0000 0.0000 5.6049
Dy 0.0000 0.0000 11.2099
Nd 2.2882 1.3211 12.1440
Nd 0.0000 0.0000 8.4074
Nd -2.2882 1.3211 12.1440
```

Properties
formation enthalpy at 0 K: 2206 meV/atom
crystal system: cubic
offset from the most stable computed form: 1945 meV per atom
SG: Fd-3m (227)
spin magnetization: 0.005 μB/atom